(1)
Computed, not measured: an optimized crystal structure of UPaReTc at the PBE level of DFT.

Cell lengths 4.708, 4.708, 4.708 Å; angles 60.00, 60.00, 60.00 degrees
Element x y z (fractional)
Re  0.000  0.000  0.000
Pa  0.250  0.250  0.250
U  0.500  0.500  0.500
Tc  0.750  0.750  0.750

Properties
Crystal system: cubic
Energy relative to the elements, eV/atom: 0.0492
D(E_F), states/eV per cell: 8.11



(2)
Computed, not measured: an optimized crystal structure of PaVReTc at the PBE level of DFT.

Cell lengths 4.595, 4.595, 4.595 Å; angles 60.00, 60.00, 60.00 degrees
Element x y z (fractional)
Re  0.250  0.250  0.250
Pa  0.500  0.500  0.500
Tc  0.750  0.750  0.750
V  0.000  0.000  0.000

Properties
Crystal system: cubic
Energy relative to the elements, eV/atom: -0.0272
D(E_F), states/eV per cell: 3.68



(3)
Computed, not measured: an optimized crystal structure of PaReTcW at the PBE level of DFT.

Cell lengths 4.653, 4.653, 4.653 Å; angles 60.00, 60.00, 60.00 degrees
Element x y z (fractional)
Re  0.500  0.500  0.500
Pa  0.750  0.750  0.750
Tc  0.000  0.000  0.000
W  0.250  0.250  0.250

Properties
Crystal system: cubic
Energy relative to the elements, eV/atom: 0.1379
D(E_F), states/eV per cell: 5.54



(4)
Computed, not measured: an optimized crystal structure of YPaReTc at the PBE level of DFT.

Cell lengths 4.858, 4.858, 4.858 Å; angles 60.00, 60.00, 60.00 degrees
Element x y z (fractional)
Y  0.000  0.000  0.000
Re  0.750  0.750  0.750
Pa  0.500  0.500  0.500
Tc  0.250  0.250  0.250

Properties
Crystal system: cubic
Energy relative to the elements, eV/atom: -0.0127
D(E_F), states/eV per cell: 2.66



(5)
Computed, not measured: an optimized crystal structure of ZrPaReTc at the PBE level of DFT.

Cell lengths 4.773, 4.773, 4.773 Å; angles 60.00, 60.00, 60.00 degrees
Element x y z (fractional)
Re  0.000  0.000  0.000
Pa  0.250  0.250  0.250
Tc  0.500  0.500  0.500
Zr  0.750  0.750  0.750

Properties
Crystal system: cubic
Energy relative to the elements, eV/atom: -0.2183
D(E_F), states/eV per cell: 3.28



(6)
Computed, not measured: an optimized crystal structure of PaReTe at the PBE level of DFT.

Cell lengths 3.411, 3.411, 6.109 Å; angles 106.21, 106.21, 90.00 degrees
Element x y z (fractional)
Re  0.336  0.336  0.672
Pa  0.685  0.685  0.370
Te  0.979  0.979  0.958

Properties
Uncorrected formation energy, eV/f.u.: 0.4
Crystal system: tetragonal
D(E_F), states/eV per cell: 4.78



(7)
Computed, not measured: an optimized crystal structure of Pa2ReTe at the PBE level of DFT.

Cell lengths 3.371, 3.371, 8.253 Å; angles 90.02, 90.02, 81.74 degrees
Element x y z (fractional)
Pa  0.000  0.000  0.277
Pa  0.000  0.000  0.723
Re  0.500  0.500  0.500
Te  0.500  0.500  0.000

Properties
Uncorrected formation energy, eV/f.u.: -1.3
Crystal system: orthorhombic
D(E_F), states/eV per cell: 5.49



(8)
Computed, not measured: an optimized crystal structure of Pa2ReTe at the PBE level of DFT.

Cell lengths 3.373, 3.373, 8.075 Å; angles 90.00, 90.00, 90.00 degrees
Element x y z (fractional)
Re  0.500  0.500  0.000
Pa  0.000  0.000  0.775
Pa  0.000  0.000  0.225
Te  0.500  0.500  0.500

Properties
Uncorrected formation energy, eV/f.u.: -1.3
Crystal system: tetragonal
D(E_F), states/eV per cell: 5.25



(9)
Computed, not measured: an optimized crystal structure of Pa2ReTe at the PBE level of DFT.

Cell lengths 3.265, 3.265, 10.530 Å; angles 81.08, 81.08, 60.00 degrees
Element x y z (fractional)
Re  0.000  0.000  0.000
Pa  0.082  0.082  0.755
Pa  0.918  0.918  0.245
Te  0.500  0.500  0.500

Properties
Uncorrected formation energy, eV/f.u.: 1.4
Crystal system: trigonal
D(E_F), states/eV per cell: 2.46



(10)
Computed, not measured: an optimized crystal structure of PaReTe at the PBE level of DFT.

Cell lengths 3.917, 5.068, 9.262 Å; angles 92.25, 90.07, 67.25 degrees
Element x y z (fractional)
Re  0.581  0.336  0.378
Re  0.419  0.664  0.622
Pa  0.859  0.780  0.368
Pa  0.141  0.220  0.632
Te  0.848  0.807  0.832
Te  0.152  0.193  0.168

Properties
Uncorrected formation energy, eV/f.u.: -0.6
Crystal system: triclinic
D(E_F), states/eV per cell: 3.78



(11)
Computed, not measured: an optimized crystal structure of ThPaRe at the PBE level of DFT.

Cell lengths 3.602, 3.602, 5.968 Å; angles 107.56, 107.56, 90.00 degrees
Element x y z (fractional)
Re  0.318  0.318  0.636
Pa  0.686  0.686  0.372
Th  0.996  0.996  0.993

Properties
Crystal system: tetragonal
Energy relative to the elements, eV/atom: 0.0220
D(E_F), states/eV per cell: 2.88



(12)
Computed, not measured: an optimized crystal structure of ThPaRe at the PBE level of DFT.

Cell lengths 3.448, 4.820, 4.820 Å; angles 120.00, 90.00, 90.00 degrees
Element x y z (fractional)
Re  0.021  0.000  0.000
Pa  0.313  0.667  0.333
Th  0.666  0.333  0.667

Properties
Crystal system: trigonal
Energy relative to the elements, eV/atom: 0.1147
D(E_F), states/eV per cell: 2.63



(13)
Computed, not measured: an optimized crystal structure of ThPaRe4 at the PBE level of DFT.

Cell lengths 5.475, 5.475, 5.475 Å; angles 60.00, 60.00, 60.00 degrees
Element x y z (fractional)
Re  0.625  0.625  0.125
Re  0.625  0.125  0.625
Re  0.625  0.625  0.625
Re  0.125  0.625  0.625
Pa  0.000  0.000  0.000
Th  0.250  0.250  0.250

Properties
Crystal system: cubic
Energy relative to the elements, eV/atom: -0.0860
D(E_F), states/eV per cell: 9.60